Record 1
Entry from Alexandria: a geometry-optimized LuSbRhAu structure (PBE-GGA).

Output
SG   F-43m, No. 216
Density of states at the Fermi level   2.88 states/eV per cell
Raw formation energy   -577 meV/atom
Magnetization   0.00 μB per formula unit

Cell lengths 4.818, 4.818, 4.818 Å; angles 60.00, 60.00, 60.00 degrees
Atoms (fractional coordinates):
Au: 0.000 0.000 0.000
Lu: 0.750 0.750 0.750
Sb: 0.250 0.250 0.250
Rh: 0.500 0.500 0.500

Record 2
Entry from Alexandria: a geometry-optimized LuScRhAu structure (PBE-GGA).

Output
SG   F-43m, No. 216
Density of states at the Fermi level   3.47 states/eV per cell
E   -24.978 eV/cell
Magnetization   0.00 μB per formula unit

Cell lengths 4.789, 4.789, 4.789 Å; angles 60.00, 60.00, 60.00 degrees
Atoms (fractional coordinates):
Sc: 0.250 0.250 0.250
Rh: 0.500 0.500 0.500
Lu: 0.750 0.750 0.750
Au: 0.000 0.000 0.000

Record 3
Entry from Alexandria: a geometry-optimized LuSnRhAu structure (PBE-GGA).

Output
SG   F-43m, No. 216
Density of states at the Fermi level   2.49 states/eV per cell
E   -21.751 eV/cell
Magnetization   0.00 μB per formula unit

Cell lengths 4.787, 4.787, 4.787 Å; angles 60.00, 60.00, 60.00 degrees
Atoms (fractional coordinates):
Lu: 0.250 0.250 0.250
Rh: 0.000 0.000 0.000
Au: 0.500 0.500 0.500
Sn: 0.750 0.750 0.750

Record 4
Entry from Alexandria: a geometry-optimized TbLuRhAu structure (PBE-GGA).

Output
SG   F-43m, No. 216
Density of states at the Fermi level   2.99 states/eV per cell
E   -23.208 eV/cell
Magnetization   0.00 μB per formula unit

Cell lengths 4.937, 4.937, 4.937 Å; angles 60.00, 60.00, 60.00 degrees
Atoms (fractional coordinates):
Lu: 0.750 0.750 0.750
Tb: 0.250 0.250 0.250
Au: 0.500 0.500 0.500
Rh: 0.000 0.000 0.000

Record 5
Entry from Alexandria: a geometry-optimized LuTiRhAu structure (PBE-GGA).

Output
SG   F-43m, No. 216
Density of states at the Fermi level   2.84 states/eV per cell
E   -25.514 eV/cell
Magnetization   0.00 μB per formula unit

Cell lengths 4.694, 4.694, 4.694 Å; angles 60.00, 60.00, 60.00 degrees
Atoms (fractional coordinates):
Au: 0.000 0.000 0.000
Ti: 0.250 0.250 0.250
Lu: 0.750 0.750 0.750
Rh: 0.500 0.500 0.500

Record 6
Entry from Alexandria: a geometry-optimized YLuRhAu structure (PBE-GGA).

Output
SG   F-43m, No. 216
Density of states at the Fermi level   3.00 states/eV per cell
E   -25.055 eV/cell
Magnetization   0.00 μB per formula unit

Cell lengths 4.933, 4.933, 4.933 Å; angles 60.00, 60.00, 60.00 degrees
Atoms (fractional coordinates):
Y: 0.750 0.750 0.750
Au: 0.000 0.000 0.000
Rh: 0.500 0.500 0.500
Lu: 0.250 0.250 0.250

Record 7
Entry from Alexandria: a geometry-optimized LuZnRhAu structure (PBE-GGA).

Output
SG   F-43m, No. 216
Density of states at the Fermi level   2.15 states/eV per cell
E   -18.915 eV/cell
Magnetization   0.00 μB per formula unit

Cell lengths 4.638, 4.638, 4.638 Å; angles 60.00, 60.00, 60.00 degrees
Atoms (fractional coordinates):
Lu: 0.500 0.500 0.500
Rh: 0.750 0.750 0.750
Au: 0.250 0.250 0.250
Zn: 0.000 0.000 0.000

Record 8
Entry from Alexandria: a geometry-optimized LuZrRhAu structure (PBE-GGA).

Output
SG   F-43m, No. 216
Density of states at the Fermi level   2.79 states/eV per cell
E   -26.584 eV/cell
Magnetization   0.00 μB per formula unit

Cell lengths 4.815, 4.815, 4.815 Å; angles 60.00, 60.00, 60.00 degrees
Atoms (fractional coordinates):
Rh: 0.500 0.500 0.500
Zr: 0.250 0.250 0.250
Au: 0.000 0.000 0.000
Lu: 0.750 0.750 0.750

Record 9
Entry from Alexandria: a geometry-optimized Lu2RuAu structure (PBE-GGA).

Output
SG   P4/mmm, No. 123
Density of states at the Fermi level   1.88 states/eV per cell
E   -24.594 eV/cell
Magnetization   0.00 μB per formula unit

Cell lengths 3.364, 3.364, 7.160 Å; angles 90.00, 90.00, 90.00 degrees
Atoms (fractional coordinates):
Ru: 0.500 0.500 0.000
Lu: 0.000 0.000 0.772
Lu: 0.000 0.000 0.228
Au: 0.500 0.500 0.500

Record 10
Entry from Alexandria: a geometry-optimized Lu2RuAu structure (PBE-GGA).

Output
SG   Fm-3m, No. 225
Density of states at the Fermi level   3.37 states/eV per cell
E   -24.288 eV/cell
Magnetization   0.00 μB per formula unit

Cell lengths 4.861, 4.866, 4.863 Å; angles 59.99, 90.02, 60.01 degrees
Atoms (fractional coordinates):
Lu: 0.500 0.000 0.500
Ru: 0.250 0.500 0.750
Lu: 0.000 0.000 0.000
Au: 0.750 0.500 0.250

Record 11
Entry from Alexandria: a geometry-optimized SmLuRuAu structure (PBE-GGA).

Output
SG   F-43m, No. 216
Density of states at the Fermi level   2.17 states/eV per cell
E   -23.998 eV/cell
Magnetization   0.00 μB per formula unit

Cell lengths 4.955, 4.955, 4.955 Å; angles 60.00, 60.00, 60.00 degrees
Atoms (fractional coordinates):
Lu: 0.500 0.500 0.500
Ru: 0.750 0.750 0.750
Au: 0.250 0.250 0.250
Sm: 0.000 0.000 0.000

Record 12
Entry from Alexandria: a geometry-optimized LuThRuAu structure (PBE-GGA).

Output
SG   F-43m, No. 216
Density of states at the Fermi level   3.78 states/eV per cell
E   -26.617 eV/cell
Magnetization   0.00 μB per formula unit

Cell lengths 5.023, 5.023, 5.023 Å; angles 60.00, 60.00, 60.00 degrees
Atoms (fractional coordinates):
Lu: 0.000 0.000 0.000
Ru: 0.750 0.750 0.750
Au: 0.250 0.250 0.250
Th: 0.500 0.500 0.500

Look up the density of states at the Fermi level of the ninth one. 1.88 states/eV per cell

density of states at the Fermi level of number 9 (Lu2RuAu)? 1.88 states/eV per cell

What is the density of states at the Fermi level in the fourth record? 2.99 states/eV per cell